Computed, not measured: a relaxed Ba2CdCl2 crystal at the GGA-PBE level of DFT.

E_tot: -3.167 eV per atom
ΔE_f (raw): -1477 meV/atom
Spin magnetization: 0.00 Bohr magnetons per cell
N(E_F): 2.53 states/eV/f.u.

Unit cell a=4.9716 b=4.9716 c=15.8672 alpha=90.00 beta=90.00 gamma=90.00
Space group I4/mmm (No. 139)
Asymmetric unit:
Ba (0.0000, 0.0000, 0.1308) (multiplicity 4)
Cd (0.0000, 0.0000, 0.5000) (multiplicity 2)
Cl (0.0000, 0.5000, 0.2500) (multiplicity 4)


Computed, not measured: a relaxed Nd8HRu3Br4 crystal at the GGA-PBE level of DFT.

E_tot: -5.544 eV per atom
Spin magnetization: 0.00 Bohr magnetons per cell
N(E_F): 6.18 states/eV/f.u.

Unit cell a=13.9346 b=8.0252 c=9.1777 alpha=90.00 beta=120.51 gamma=90.00
Space group C2/m (No. 12)
Asymmetric unit:
Nd (0.0186, 0.2503, 0.3060) (multiplicity 8)
Nd (0.2316, 0.0000, 0.6943) (multiplicity 4)
Nd (0.2345, 0.5000, 0.7034) (multiplicity 4)
H (0.0000, 0.0000, 0.5000) (multiplicity 2)
Ru (0.0000, 0.5000, 0.5000) (multiplicity 2)
Ru (0.2500, 0.2500, 0.5000) (multiplicity 4)
Br (0.0000, 0.0000, 0.0000) (multiplicity 2)
Br (0.0000, 0.5000, 0.0000) (multiplicity 2)
Br (0.2500, 0.2500, 0.0000) (multiplicity 4)


Computed, not measured: a relaxed NbSi2Te crystal at the GGA-PBE level of DFT.

E_tot: -5.324 eV per atom
ΔE_f (raw): 690 meV/atom
Spin magnetization: 2.40 Bohr magnetons per cell
N(E_F): 3.67 states/eV/f.u.

Unit cell a=6.1748 b=6.1748 c=11.4319 alpha=90.00 beta=90.00 gamma=90.00
Space group I-42d (No. 122)
Asymmetric unit:
Nb (0.0000, 0.0000, 0.0000) (multiplicity 4)
Si (0.2233, 0.2500, 0.1250) (multiplicity 8)
Te (0.0000, 0.0000, 0.5000) (multiplicity 4)


Computed, not measured: a relaxed ZrTi2Ga2 crystal at the GGA-PBE level of DFT.

E_tot: -6.370 eV per atom
Spin magnetization: 0.00 Bohr magnetons per cell
Formation energy: -0.29 eV per atom
E above lowest polymorph: 68 kJ/mol of formula units
N(E_F): 3.72 states/eV/f.u.

Unit cell a=7.8331 b=7.8331 c=2.8483 alpha=90.00 beta=90.00 gamma=90.00
Space group P4/mbm (No. 127)
Asymmetric unit:
Zr (0.0000, 0.0000, 0.0000) (multiplicity 2)
Ti (0.1200, 0.3800, 0.0000) (multiplicity 4)
Ga (0.1769, 0.6769, 0.5000) (multiplicity 4)


Computed, not measured: a relaxed KCdTe crystal at the GGA-PBE level of DFT.

E_tot: -2.324 eV per atom
ΔE_f (raw): -606 meV/atom
Spin magnetization: 0.00 Bohr magnetons per cell
E above lowest polymorph: 0 kJ/mol of formula units

Unit cell a=4.8469 b=5.7892 c=17.5085 alpha=90.00 beta=90.00 gamma=90.00
Space group Immm (No. 71)
Asymmetric unit:
K (0.0000, 0.0000, 0.1600) (multiplicity 4)
Cd (0.0000, 0.2662, 0.5000) (multiplicity 4)
Te (0.0000, 0.0000, 0.3616) (multiplicity 4)


Computed, not measured: a relaxed EuErSnBi crystal at the GGA-PBE level of DFT.

E_tot: -6.228 eV per atom
Spin magnetization: 27.71 Bohr magnetons per cell
Formation energy: -0.55 eV per atom
N(E_F): 4.23 states/eV/f.u.

Unit cell a=7.8030 b=7.8030 c=7.8030 alpha=90.00 beta=90.00 gamma=90.00
Space group F-43m (No. 216)
Asymmetric unit:
Eu (0.0000, 0.0000, 0.0000) (multiplicity 4)
Er (0.0000, 0.0000, 0.5000) (multiplicity 4)
Sn (0.2500, 0.2500, 0.2500) (multiplicity 4)
Bi (0.2500, 0.2500, 0.7500) (multiplicity 4)